# 1
First-principles (PBE) data for Pu3Ga7Ir2 after structural relaxation, as listed in Alexandria via LeMat-Bulk.

Calculated values
Volume: 244.0 Å³/cell
Space-group type: P2/m
E above lowest polymorph: 38 meV per atom
ΔE_f: -0.36 eV per atom

```
Pu3Ga7Ir2
1.0
4.848 0.000 0.000
0.000 4.421 0.000
-1.684 0.000 11.383
Pu Ga Ir
3 7 2
Direct
0.000 0.000 0.000
0.136 0.000 0.356
0.864 0.000 0.644
0.233 0.500 0.176
0.292 0.500 0.560
0.447 0.000 0.831
0.500 0.500 0.000
0.553 0.000 0.169
0.708 0.500 0.440
0.767 0.500 0.824
0.231 0.500 0.769
0.769 0.500 0.231
```

# 2
First-principles (PBE) data for KTc2Au after structural relaxation, as listed in Alexandria via LeMat-Bulk.

Calculated values
Volume: 75.1 Å³/cell
Space-group type: P4/mmm
E above lowest polymorph: 831 meV per atom
ΔE_f: 1.26 eV per atom

```
KTc2Au
1.0
3.852 0.000 0.000
0.000 3.852 0.000
0.000 0.000 5.063
K Tc Au
1 2 1
Direct
0.000 0.000 0.000
0.000 0.500 0.500
0.500 0.000 0.500
0.500 0.500 0.000
```

# 3
First-principles (PBE) data for BaAs3Ir after structural relaxation, as listed in Alexandria via LeMat-Bulk.

Calculated values
Volume: 183.2 Å³/cell
Space-group type: Pm-3m
E above lowest polymorph: 2240 meV per atom
ΔE_f: 2.16 eV per atom

```
BaAs3Ir
1.0
5.680 0.000 0.000
0.000 5.680 0.000
0.000 0.000 5.680
Ba As Ir
1 3 1
Direct
0.000 0.000 0.000
0.000 0.000 0.500
0.000 0.500 0.000
0.500 0.000 0.000
0.500 0.500 0.500
```

# 4
First-principles (PBE) data for MgPd2PbS after structural relaxation, as listed in Alexandria via LeMat-Bulk.

Calculated values
Energy relative to the elements, uncorrected: -0.247 eV/atom
Volume: 103.7 Å³/cell
Space-group type: P4/mmm

```
MgPd2PbS
1.0
4.699 0.000 0.000
0.000 4.699 0.000
0.000 0.000 4.695
Mg Pd Pb S
1 2 1 1
Direct
0.000 0.000 0.000
0.000 0.500 0.500
0.500 0.000 0.500
0.500 0.500 0.000
0.000 0.000 0.500
```

The lowest volume belongs to which entry? KTc2Au